{"formula": "Sc2Fe2P", "functional": "PBE", "state": "optimized geometry", "ef_ev_per_atom": -0.427, "n_ef_per_ev_atom": 1.107, "e_tot_ev_per_atom": -7.426, "lattice": [[5.872, 0.000, 0.000], [0.000, 5.872, 0.000], [0.000, 0.000, 4.268]], "species": ["Sc", "Sc", "Sc", "Sc", "P", "P", "Fe", "Fe", "Fe", "Fe"], "frac_coords": [[0.181, 0.681, 0.500], [0.681, 0.819, 0.500], [0.819, 0.319, 0.500], [0.319, 0.181, 0.500], [0.000, 0.000, 0.000], [0.500, 0.500, 0.000], [0.368, 0.868, 0.000], [0.868, 0.632, 0.000], [0.632, 0.132, 0.000], [0.132, 0.368, 0.000]]}